# 1
Here is a geometry-optimized Cs2NaTl6Pt structure from the Alexandria database. Energies are from PBE.

Output
Formation enthalpy at 0 K (kcal/mol of atoms): -1.32
Symmetry: P-3m1 (164)
E_tot (eV/atom): -2.38

Unit cell a=7.751 b=7.751 c=7.046 alpha=90.00 beta=90.00 gamma=120.00
Fractional coordinates of all 10 atoms:
Cs: 0.333 0.667 0.155
Cs: 0.667 0.333 0.845
Na: 0.000 0.000 0.000
Tl: 0.190 0.381 0.672
Tl: 0.190 0.810 0.672
Tl: 0.381 0.190 0.328
Tl: 0.619 0.810 0.672
Tl: 0.810 0.190 0.328
Tl: 0.810 0.619 0.328
Pt: 0.000 0.000 0.500


# 2
Here is a geometry-optimized Cs2NaTlPt structure from the Alexandria database. Energies are from PBE.

Output
Formation enthalpy at 0 K (kcal/mol of atoms): -0.80
Symmetry: P4/mmm (123)
E_tot (eV/atom): -2.32

Unit cell a=6.824 b=6.824 c=5.354 alpha=90.00 beta=90.00 gamma=90.00
Fractional coordinates of all 5 atoms:
Cs: 0.000 0.500 0.000
Cs: 0.500 0.000 0.000
Na: 0.000 0.000 0.500
Tl: 0.500 0.500 0.500
Pt: 0.500 0.500 0.000


# 3
Here is a geometry-optimized Cs2NaTl2Pt structure from the Alexandria database. Energies are from PBE.

Output
Formation enthalpy at 0 K (kcal/mol of atoms): -3.14
Symmetry: Ibam (72)
E_tot (eV/atom): -2.44

Unit cell a=10.035 b=10.035 c=10.035 alpha=136.73 beta=65.05 gamma=133.91
Fractional coordinates of all 12 atoms:
Cs: 0.168 0.242 0.410
Cs: 0.332 0.742 0.075
Cs: 0.668 0.258 0.925
Cs: 0.832 0.758 0.590
Na: 0.250 0.250 0.000
Na: 0.750 0.750 0.000
Tl: 0.076 0.703 0.779
Tl: 0.424 0.203 0.626
Tl: 0.576 0.797 0.374
Tl: 0.924 0.297 0.221
Pt: 0.250 0.750 0.500
Pt: 0.750 0.250 0.500


# 4
Here is a geometry-optimized CsNa2TlPt structure from the Alexandria database. Energies are from PBE.

Output
Formation enthalpy at 0 K (kcal/mol of atoms): -2.97
Symmetry: P4/mmm (123)
E_tot (eV/atom): -2.51

Unit cell a=5.802 b=5.802 c=5.304 alpha=90.00 beta=90.00 gamma=90.00
Fractional coordinates of all 5 atoms:
Cs: 0.000 0.000 0.000
Na: 0.000 0.500 0.500
Na: 0.500 0.000 0.500
Tl: 0.500 0.500 0.000
Pt: 0.500 0.500 0.500


# 5
Here is a geometry-optimized CsNaTl2Pt structure from the Alexandria database. Energies are from PBE.

Output
Formation enthalpy at 0 K (kcal/mol of atoms): -3.35
Symmetry: P4/mmm (123)
E_tot (eV/atom): -2.73
Relative energy among the computed polymorphs (meV per atom): 0.0

Unit cell a=5.382 b=5.382 c=5.886 alpha=90.00 beta=90.00 gamma=90.00
Fractional coordinates of all 5 atoms:
Cs: 0.000 0.000 0.000
Na: 0.500 0.500 0.000
Tl: 0.000 0.500 0.500
Tl: 0.500 0.000 0.500
Pt: 0.500 0.500 0.500


# 6
Here is a geometry-optimized CsNaTl2Pt structure from the Alexandria database. Energies are from PBE.

Output
Formation enthalpy at 0 K (kcal/mol of atoms): -0.07
Symmetry: P4/mmm (123)
E_tot (eV/atom): -2.59
Relative energy among the computed polymorphs (meV per atom): 142.3

Unit cell a=5.414 b=5.414 c=6.564 alpha=90.00 beta=90.00 gamma=90.00
Fractional coordinates of all 5 atoms:
Cs: 0.000 0.000 0.000
Na: 0.500 0.500 0.000
Tl: 0.000 0.500 0.500
Tl: 0.500 0.000 0.500
Pt: 0.000 0.000 0.500